Entry from the Alexandria database: a geometry-optimized NaGeAu3 structure (PBE).

## Properties
SG: Pm-3m
density of states at the Fermi level: 0.096 states/eV/atom
energy relative to the lowest polymorph listed for this composition: 187 meV/atom
E_tot: -3.211 eV per atom

Geometry as CIF:
```
data_NaGeAu3
_cell_length_a 4.965
_cell_length_b 4.965
_cell_length_c 4.965
_cell_angle_alpha 90.00
_cell_angle_beta 90.00
_cell_angle_gamma 90.00
_symmetry_space_group_name_H-M 'P 1'
_symmetry_Int_Tables_number 1
loop_
_symmetry_equiv_pos_as_xyz
'x,y,z'
loop_
_atom_site_label
_atom_site_fract_x
_atom_site_fract_y
_atom_site_fract_z
_atom_site_occupancy
Na1 0.500 0.500 0.500 1
Ge1 0.000 0.000 0.000 1
Au1 0.000 0.500 0.000 1
Au2 0.000 0.000 0.500 1
Au3 0.500 0.000 0.000 1
```



Entry from the Alexandria database: a geometry-optimized Na2Ge2Au structure (PBE).

## Properties
SG: I4/mmm
density of states at the Fermi level: 0.258 states/eV/atom
energy relative to the lowest polymorph listed for this composition: 401 meV/atom
E_tot: -2.849 eV per atom

Geometry as CIF:
```
data_Na2Ge2Au
_cell_length_a 4.048
_cell_length_b 4.048
_cell_length_c 7.190
_cell_angle_alpha 73.65
_cell_angle_beta 73.65
_cell_angle_gamma 90.00
_symmetry_space_group_name_H-M 'P 1'
_symmetry_Int_Tables_number 1
loop_
_symmetry_equiv_pos_as_xyz
'x,y,z'
loop_
_atom_site_label
_atom_site_fract_x
_atom_site_fract_y
_atom_site_fract_z
_atom_site_occupancy
Na1 0.750 0.250 0.500 1
Na2 0.250 0.750 0.500 1
Ge1 0.412 0.412 0.176 1
Ge2 0.588 0.588 0.824 1
Au1 0.000 0.000 0.000 1
```



Entry from the Alexandria database: a geometry-optimized Na2Ge4Au5 structure (PBE).

## Properties
SG: Fmmm
density of states at the Fermi level: 0.296 states/eV/atom
E_tot: -3.485 eV per atom

Geometry as CIF:
```
data_Na2Ge4Au5
_cell_length_a 5.792
_cell_length_b 5.863
_cell_length_c 8.809
_cell_angle_alpha 80.65
_cell_angle_beta 70.81
_cell_angle_gamma 60.40
_symmetry_space_group_name_H-M 'P 1'
_symmetry_Int_Tables_number 1
loop_
_symmetry_equiv_pos_as_xyz
'x,y,z'
loop_
_atom_site_label
_atom_site_fract_x
_atom_site_fract_y
_atom_site_fract_z
_atom_site_occupancy
Na1 0.875 0.000 0.249 1
Na2 0.125 0.000 0.751 1
Ge1 0.470 0.316 0.744 1
Ge2 0.530 0.684 0.256 1
Ge3 0.214 0.316 0.256 1
Ge4 0.786 0.684 0.744 1
Au1 0.500 0.000 0.000 1
Au2 0.000 0.500 0.000 1
Au3 0.500 0.500 0.000 1
Au4 0.250 0.500 0.500 1
Au5 0.750 0.500 0.500 1
```



Entry from the Alexandria database: a geometry-optimized NaGeAu3 structure (PBE).

## Properties
SG: I4mm
density of states at the Fermi level: 0.190 states/eV/atom
energy relative to the lowest polymorph listed for this composition: 67 meV/atom
E_tot: -3.331 eV per atom

Geometry as CIF:
```
data_NaGeAu3
_cell_length_a 4.797
_cell_length_b 4.797
_cell_length_c 5.867
_cell_angle_alpha 114.13
_cell_angle_beta 114.13
_cell_angle_gamma 90.00
_symmetry_space_group_name_H-M 'P 1'
_symmetry_Int_Tables_number 1
loop_
_symmetry_equiv_pos_as_xyz
'x,y,z'
loop_
_atom_site_label
_atom_site_fract_x
_atom_site_fract_y
_atom_site_fract_z
_atom_site_occupancy
Na1 0.014 0.014 0.027 1
Ge1 0.664 0.664 0.328 1
Au1 0.252 0.752 0.504 1
Au2 0.752 0.252 0.504 1
Au3 0.408 0.408 0.816 1
```



Entry from the Alexandria database: a geometry-optimized NaGeAu3 structure (PBE).

## Properties
SG: C2/c
density of states at the Fermi level: 0.305 states/eV/atom
energy relative to the lowest polymorph listed for this composition: 83 meV/atom
E_tot: -3.315 eV per atom

Geometry as CIF:
```
data_NaGeAu3
_cell_length_a 6.090
_cell_length_b 8.501
_cell_length_c 8.501
_cell_angle_alpha 70.12
_cell_angle_beta 79.87
_cell_angle_gamma 79.87
_symmetry_space_group_name_H-M 'P 1'
_symmetry_Int_Tables_number 1
loop_
_symmetry_equiv_pos_as_xyz
'x,y,z'
loop_
_atom_site_label
_atom_site_fract_x
_atom_site_fract_y
_atom_site_fract_z
_atom_site_occupancy
Na1 0.250 0.987 0.013 1
Na2 0.750 0.013 0.987 1
Na3 0.250 0.345 0.655 1
Na4 0.750 0.655 0.345 1
Ge1 0.686 0.417 0.768 1
Ge2 0.814 0.232 0.583 1
Ge3 0.314 0.583 0.232 1
Ge4 0.186 0.768 0.417 1
Au1 0.603 0.688 0.978 1
Au2 0.897 0.022 0.312 1
Au3 0.397 0.312 0.022 1
Au4 0.103 0.978 0.688 1
Au5 0.924 0.331 0.011 1
Au6 0.576 0.989 0.669 1
Au7 0.076 0.669 0.989 1
Au8 0.424 0.011 0.331 1
Au9 0.414 0.687 0.674 1
Au10 0.086 0.326 0.313 1
Au11 0.586 0.313 0.326 1
Au12 0.914 0.674 0.687 1
```



Entry from the Alexandria database: a geometry-optimized Na3Ge2Au4 structure (PBE).

## Properties
SG: C2/m
density of states at the Fermi level: 0.362 states/eV/atom
energy relative to the lowest polymorph listed for this composition: 0 meV/atom
E_tot: -3.179 eV per atom

Geometry as CIF:
```
data_Na3Ge2Au4
_cell_length_a 4.686
_cell_length_b 5.617
_cell_length_c 8.256
_cell_angle_alpha 75.60
_cell_angle_beta 73.51
_cell_angle_gamma 65.35
_symmetry_space_group_name_H-M 'P 1'
_symmetry_Int_Tables_number 1
loop_
_symmetry_equiv_pos_as_xyz
'x,y,z'
loop_
_atom_site_label
_atom_site_fract_x
_atom_site_fract_y
_atom_site_fract_z
_atom_site_occupancy
Na1 0.307 0.755 0.631 1
Na2 0.000 0.000 0.000 1
Na3 0.693 0.245 0.369 1
Ge1 0.464 0.843 0.229 1
Ge2 0.536 0.157 0.771 1
Au1 0.297 0.344 0.063 1
Au2 0.703 0.656 0.937 1
Au3 0.001 0.337 0.662 1
Au4 0.999 0.663 0.338 1
```



Entry from the Alexandria database: a geometry-optimized NaGeAu4 structure (PBE).

## Properties
SG: F-43m
density of states at the Fermi level: 0.950 states/eV/atom
energy relative to the lowest polymorph listed for this composition: 40 meV/atom
E_tot: -3.206 eV per atom

Geometry as CIF:
```
data_NaGeAu4
_cell_length_a 5.587
_cell_length_b 5.587
_cell_length_c 5.587
_cell_angle_alpha 60.00
_cell_angle_beta 60.00
_cell_angle_gamma 60.00
_symmetry_space_group_name_H-M 'P 1'
_symmetry_Int_Tables_number 1
loop_
_symmetry_equiv_pos_as_xyz
'x,y,z'
loop_
_atom_site_label
_atom_site_fract_x
_atom_site_fract_y
_atom_site_fract_z
_atom_site_occupancy
Na1 0.250 0.250 0.250 1
Ge1 0.000 0.000 0.000 1
Au1 0.625 0.625 0.126 1
Au2 0.625 0.126 0.625 1
Au3 0.625 0.625 0.625 1
Au4 0.126 0.625 0.625 1
```



Entry from the Alexandria database: a geometry-optimized NaGeAu structure (PBE).

## Properties
SG: F-43m
density of states at the Fermi level: 0.624 states/eV/atom
E_tot: -3.126 eV per atom

Geometry as CIF:
```
data_NaGeAu
_cell_length_a 4.566
_cell_length_b 4.566
_cell_length_c 4.566
_cell_angle_alpha 60.00
_cell_angle_beta 60.00
_cell_angle_gamma 60.00
_symmetry_space_group_name_H-M 'P 1'
_symmetry_Int_Tables_number 1
loop_
_symmetry_equiv_pos_as_xyz
'x,y,z'
loop_
_atom_site_label
_atom_site_fract_x
_atom_site_fract_y
_atom_site_fract_z
_atom_site_occupancy
Na1 0.500 0.500 0.500 1
Ge1 0.000 0.000 0.000 1
Au1 0.250 0.250 0.250 1
```